Here is Li4H3ClO3 after structural relaxation from the Alexandria database. Energies are from GGA-PBE. Values from VASP.

Output
total magnetic moment: 0.00 μB/cell
VASP energy: -104.4 eV for the cell shown
volume: 254 Å³/cell
symmetry: P2_1/m (11)
Fermi-level density of states: 0.0 states/eV/cell

The structure in Quantum ESPRESSO input format:
```
&SYSTEM
  ibrav = 0, nat = 22, ntyp = 4
/
ATOMIC_SPECIES
Li 6.94 Li.upf
H 1.01 H.upf
Cl 35.45 Cl.upf
O 16.00 O.upf
ATOMIC_POSITIONS angstrom
Li 0.161 1.864 2.624
Li 1.592 3.841 4.039
Li 1.592 7.342 4.039
Li 2.019 1.864 1.046
Li 2.904 5.592 5.221
Li 3.331 0.113 2.227
Li 3.331 3.615 2.227
Li 4.763 5.592 3.643
H 0.483 5.592 5.549
H 0.849 4.017 1.661
H 0.849 7.167 1.661
H 4.074 0.289 4.605
H 4.074 3.439 4.605
H 4.440 1.864 0.718
Cl 0.518 1.864 5.112
Cl 4.406 5.592 1.154
O 0.989 5.592 4.715
O 1.369 0.372 2.152
O 1.369 3.356 2.152
O 3.554 4.100 4.114
O 3.554 7.084 4.114
O 3.934 1.864 1.551
CELL_PARAMETERS angstrom
5.439 0.000 0.000
0.000 7.456 0.000
-0.516 0.000 6.266
```